No. 1
# KSbF6 (GGA-PBEsol, optimized geometry)
data_KSbF6
_chemical_formula_sum 'K8 Sb8 F48'
_space_group_name_H-M_alt 'I a -3'
_space_group_IT_number 206
_space_group_name_Hall '-I 2b 2c 3'
_cell_length_a 10.1841
_cell_length_b 10.1841
_cell_length_c 10.1841
_cell_angle_alpha 90.00
_cell_angle_beta 90.00
_cell_angle_gamma 90.00
loop_
_atom_site_label
_atom_site_type_symbol
_atom_site_fract_x
_atom_site_fract_y
_atom_site_fract_z
K1 K 0.2500 0.2500 0.2500
Sb1 Sb 0.0000 0.0000 0.0000
F1 F 0.0595 0.1096 0.6397
# **Density**: 3.46 Mg/m³
# **DFT total energy**: -4.74 eV/atom
# **Raw formation energy**: -2.588 eV/atom
# **Volume**: 132 Å³/f.u.



No. 2
# K3SbF (GGA-PBEsol, optimized geometry)
data_K3SbF
_chemical_formula_sum 'K3 Sb1 F1'
_space_group_name_H-M_alt 'P m -3 m'
_space_group_IT_number 221
_space_group_name_Hall '-P 4 2 3'
_cell_length_a 5.2899
_cell_length_b 5.2899
_cell_length_c 5.2899
_cell_angle_alpha 90.00
_cell_angle_beta 90.00
_cell_angle_gamma 90.00
loop_
_atom_site_label
_atom_site_type_symbol
_atom_site_fract_x
_atom_site_fract_y
_atom_site_fract_z
K1 K 0.0000 0.0000 0.5000
Sb1 Sb 0.5000 0.5000 0.5000
F1 F 0.0000 0.0000 0.0000
# **Density**: 2.89 Mg/m³
# **DFT total energy**: -3.24 eV/atom
# **Raw formation energy**: -1.263 eV/atom
# **Volume**: 148 Å³/f.u.



No. 3
# K4SnSb2F14 (GGA-PBEsol, optimized geometry)
data_K4SnSb2F14
_chemical_formula_sum 'K4 Sn1 Sb2 F14'
_space_group_name_H-M_alt 'P -1'
_space_group_IT_number 2
_cell_length_a 6.6661
_cell_length_b 7.4179
_cell_length_c 7.5826
_cell_angle_alpha 92.28
_cell_angle_beta 91.95
_cell_angle_gamma 115.18
loop_
_space_group_symop_operation_xyz
'x,y,z'
'-x,-y,-z'
loop_
_atom_site_label
_atom_site_type_symbol
_atom_site_fract_x
_atom_site_fract_y
_atom_site_fract_z
K1 K 0.1476 0.2719 0.0876
K2 K 0.2818 0.5503 0.6440
Sn1 Sn 0.0000 0.0000 0.5000
Sb1 Sb 0.4040 0.8189 0.1867
F1 F 0.0497 0.7633 0.5636
F2 F 0.0815 0.6326 0.1703
F3 F 0.1623 0.1434 0.7251
F4 F 0.2801 0.1074 0.3724
F5 F 0.2813 0.9444 0.9881
F6 F 0.4025 0.5745 0.3169
F7 F 0.4299 0.6592 0.9814
# **Density**: 3.85 Mg/m³
# **DFT total energy**: -4.80 eV/atom
# **Raw formation energy**: -2.665 eV/atom
# **Volume**: 339 Å³/f.u.



No. 4
# KSb2TeF (GGA-PBEsol, optimized geometry)
data_KSb2TeF
_chemical_formula_sum 'K1 Sb2 Te1 F1'
_space_group_name_H-M_alt 'P 4/m m m'
_space_group_IT_number 123
_space_group_name_Hall '-P 4 2'
_cell_length_a 5.7530
_cell_length_b 5.7530
_cell_length_c 5.7057
_cell_angle_alpha 90.00
_cell_angle_beta 90.00
_cell_angle_gamma 90.00
loop_
_atom_site_label
_atom_site_type_symbol
_atom_site_fract_x
_atom_site_fract_y
_atom_site_fract_z
K1 K 0.0000 0.0000 0.0000
Sb1 Sb 0.0000 0.5000 0.0000
Te1 Te 0.0000 0.0000 0.5000
F1 F 0.5000 0.5000 0.5000
# **Density**: 3.77 Mg/m³
# **DFT total energy**: -2.10 eV/atom
# **Raw formation energy**: 1.041 eV/atom
# **Volume**: 189 Å³/f.u.



No. 5
# KSeF2 (GGA-PBEsol, optimized geometry)
data_KSeF2
_chemical_formula_sum 'K4 Se4 F8'
_space_group_name_H-M_alt 'F m -3 m'
_space_group_IT_number 225
_space_group_name_Hall '-F 4 2 3'
_cell_length_a 6.4600
_cell_length_b 6.4600
_cell_length_c 6.4600
_cell_angle_alpha 90.00
_cell_angle_beta 90.00
_cell_angle_gamma 90.00
loop_
_atom_site_label
_atom_site_type_symbol
_atom_site_fract_x
_atom_site_fract_y
_atom_site_fract_z
K1 K 0.0000 0.0000 0.0000
Se1 Se 0.0000 0.0000 0.5000
F1 F 0.2500 0.2500 0.2500
# **Density**: 3.85 Mg/m³
# **DFT total energy**: -3.32 eV/atom
# **Raw formation energy**: -1.114 eV/atom
# **Volume**: 67 Å³/f.u.



No. 6
# K2Se2F (GGA-PBEsol, optimized geometry)
data_K2Se2F
_chemical_formula_sum 'K4 Se4 F2'
_space_group_name_H-M_alt 'I 4/m m m'
_space_group_IT_number 139
_space_group_name_Hall '-I 4 2'
_cell_length_a 6.1687
_cell_length_b 6.1687
_cell_length_c 7.7311
_cell_angle_alpha 90.00
_cell_angle_beta 90.00
_cell_angle_gamma 90.00
loop_
_atom_site_label
_atom_site_type_symbol
_atom_site_fract_x
_atom_site_fract_y
_atom_site_fract_z
K1 K 0.0000 0.5000 0.2500
Se1 Se 0.0000 0.0000 0.1512
F1 F 0.0000 0.0000 0.5000
# **Density**: 2.88 Mg/m³
# **DFT total energy**: -3.44 eV/atom
# **Raw formation energy**: -1.063 eV/atom
# **Volume**: 147 Å³/f.u.



No. 7
# KSiF3 (GGA-PBEsol, optimized geometry)
data_KSiF3
_chemical_formula_sum 'K1 Si1 F3'
_space_group_name_H-M_alt 'P m -3 m'
_space_group_IT_number 221
_space_group_name_Hall '-P 4 2 3'
_cell_length_a 4.5391
_cell_length_b 4.5391
_cell_length_c 4.5391
_cell_angle_alpha 90.00
_cell_angle_beta 90.00
_cell_angle_gamma 90.00
loop_
_atom_site_label
_atom_site_type_symbol
_atom_site_fract_x
_atom_site_fract_y
_atom_site_fract_z
K1 K 0.0000 0.0000 0.0000
Si1 Si 0.5000 0.5000 0.5000
F1 F 0.0000 0.0000 0.5000
# **Density**: 2.20 Mg/m³
# **DFT total energy**: -3.49 eV/atom
# **Raw formation energy**: -0.957 eV/atom
# **Volume**: 94 Å³/f.u.



No. 8
# K2SiF6 (GGA-PBEsol, optimized geometry)
data_K2SiF6
_chemical_formula_sum 'K4 Si2 F12'
_space_group_name_H-M_alt 'P 63 m c'
_space_group_IT_number 186
_space_group_name_Hall 'P 6c -2c'
_cell_length_a 5.5992
_cell_length_b 5.5992
_cell_length_c 9.1727
_cell_angle_alpha 90.00
_cell_angle_beta 90.00
_cell_angle_gamma 120.00
loop_
_atom_site_label
_atom_site_type_symbol
_atom_site_fract_x
_atom_site_fract_y
_atom_site_fract_z
K1 K 0.0000 0.0000 0.0000
K2 K 0.3333 0.6667 0.2217
Si1 Si 0.3333 0.6667 0.8391
F1 F 0.0468 0.5234 0.9480
F2 F 0.1877 0.3754 0.7346
# **Density**: 2.94 Mg/m³
# **DFT total energy**: -5.36 eV/atom
# **Raw formation energy**: -3.190 eV/atom
# **Volume**: 125 Å³/f.u.



No. 9
# K2SiF6 (GGA-PBEsol, optimized geometry)
data_K2SiF6
_chemical_formula_sum 'K8 Si4 F24'
_space_group_name_H-M_alt 'F m -3 m'
_space_group_IT_number 225
_space_group_name_Hall '-F 4 2 3'
_cell_length_a 8.0471
_cell_length_b 8.0471
_cell_length_c 8.0471
_cell_angle_alpha 90.00
_cell_angle_beta 90.00
_cell_angle_gamma 90.00
loop_
_atom_site_label
_atom_site_type_symbol
_atom_site_fract_x
_atom_site_fract_y
_atom_site_fract_z
K1 K 0.2500 0.2500 0.2500
Si1 Si 0.0000 0.0000 0.0000
F1 F 0.0000 0.0000 0.2123
# **Density**: 2.81 Mg/m³
# **DFT total energy**: -5.37 eV/atom
# **Raw formation energy**: -3.196 eV/atom
# **Volume**: 130 Å³/f.u.



No. 10
# KSiF2 (GGA-PBEsol, optimized geometry)
data_KSiF2
_chemical_formula_sum 'K3 Si3 F6'
_space_group_name_H-M_alt 'R -3 m'
_space_group_IT_number 166
_space_group_name_Hall '-R 3 2"'
_cell_length_a 3.2531
_cell_length_b 3.2531
_cell_length_c 21.3775
_cell_angle_alpha 90.00
_cell_angle_beta 90.00
_cell_angle_gamma 120.00
loop_
_atom_site_label
_atom_site_type_symbol
_atom_site_fract_x
_atom_site_fract_y
_atom_site_fract_z
K1 K 0.0000 0.0000 0.0000
Si1 Si 0.0000 0.0000 0.5000
F1 F 0.0000 0.0000 0.4110
# **Density**: 2.67 Mg/m³
# **DFT total energy**: -4.55 eV/atom
# **Raw formation energy**: -1.870 eV/atom
# **Volume**: 65 Å³/f.u.



No. 11
# KSi2F (GGA-PBEsol, optimized geometry)
data_KSi2F
_chemical_formula_sum 'K4 Si8 F4'
_space_group_name_H-M_alt 'I -4 2 d'
_space_group_IT_number 122
_space_group_name_Hall 'I -4 2bw'
_cell_length_a 3.4544
_cell_length_b 3.4544
_cell_length_c 29.4096
_cell_angle_alpha 90.00
_cell_angle_beta 90.00
_cell_angle_gamma 90.00
loop_
_atom_site_label
_atom_site_type_symbol
_atom_site_fract_x
_atom_site_fract_y
_atom_site_fract_z
K1 K 0.0000 0.0000 0.0000
Si1 Si 0.2464 0.7500 0.1250
F1 F 0.0000 0.0000 0.5000
# **Density**: 2.16 Mg/m³
# **DFT total energy**: -4.44 eV/atom
# **Raw formation energy**: -0.803 eV/atom
# **Volume**: 88 Å³/f.u.



No. 12
# K2SmF5 (GGA-PBEsol, optimized geometry)
data_K2SmF5
_chemical_formula_sum 'K8 Sm4 F20'
_space_group_name_H-M_alt 'P n m a'
_space_group_IT_number 62
_cell_length_a 10.7285
_cell_length_b 7.3719
_cell_length_c 6.5910
_cell_angle_alpha 90.00
_cell_angle_beta 90.00
_cell_angle_gamma 90.00
loop_
_space_group_symop_operation_xyz
'x,y,z'
'-x,-y,-z'
'-x+1/2,-y,z+1/2'
'x+1/2,y,-z+1/2'
'x+1/2,-y+1/2,-z+1/2'
'-x+1/2,y+1/2,z+1/2'
'-x,y+1/2,-z'
'x,-y+1/2,z'
loop_
_atom_site_label
_atom_site_type_symbol
_atom_site_fract_x
_atom_site_fract_y
_atom_site_fract_z
K1 K 0.1720 0.0030 0.0314
Sm1 Sm 0.0053 0.2500 0.5632
F1 F 0.0110 0.2500 0.9034
F2 F 0.0809 0.5340 0.6479
F3 F 0.1711 0.2500 0.3615
F4 F 0.1974 0.7500 0.3302
# **Density**: 4.12 Mg/m³
# **DFT total energy**: -5.61 eV/atom
# **Raw formation energy**: -3.487 eV/atom
# **Volume**: 130 Å³/f.u.



No. 13
# K2SnF6 (GGA-PBEsol, optimized geometry)
data_K2SnF6
_chemical_formula_sum 'K8 Sn4 F24'
_space_group_name_H-M_alt 'F m -3 m'
_space_group_IT_number 225
_space_group_name_Hall '-F 4 2 3'
_cell_length_a 8.4440
_cell_length_b 8.4440
_cell_length_c 8.4440
_cell_angle_alpha 90.00
_cell_angle_beta 90.00
_cell_angle_gamma 90.00
loop_
_atom_site_label
_atom_site_type_symbol
_atom_site_fract_x
_atom_site_fract_y
_atom_site_fract_z
K1 K 0.2500 0.2500 0.2500
Sn1 Sn 0.0000 0.0000 0.0000
F1 F 0.0000 0.0000 0.2347
# **Density**: 3.43 Mg/m³
# **DFT total energy**: -4.72 eV/atom
# **Raw formation energy**: -2.714 eV/atom
# **Volume**: 151 Å³/f.u.



No. 14
# K3SnF (GGA-PBEsol, optimized geometry)
data_K3SnF
_chemical_formula_sum 'K3 Sn1 F1'
_space_group_name_H-M_alt 'P m -3 m'
_space_group_IT_number 221
_space_group_name_Hall '-P 4 2 3'
_cell_length_a 5.3547
_cell_length_b 5.3547
_cell_length_c 5.3547
_cell_angle_alpha 90.00
_cell_angle_beta 90.00
_cell_angle_gamma 90.00
loop_
_atom_site_label
_atom_site_type_symbol
_atom_site_fract_x
_atom_site_fract_y
_atom_site_fract_z
K1 K 0.0000 0.0000 0.5000
Sn1 Sn 0.5000 0.5000 0.5000
F1 F 0.0000 0.0000 0.0000
# **Density**: 2.76 Mg/m³
# **Offset from the most stable computed form**: 0.0 kJ per mole of atoms
# **DFT total energy**: -2.97 eV/atom
# **Raw formation energy**: -1.057 eV/atom
# **Volume**: 154 Å³/f.u.



No. 15
# K2SnF2 (GGA-PBEsol, optimized geometry)
data_K2SnF2
_chemical_formula_sum 'K4 Sn2 F4'
_space_group_name_H-M_alt 'I 4/m m m'
_space_group_IT_number 139
_space_group_name_Hall '-I 4 2'
_cell_length_a 4.5204
_cell_length_b 4.5204
_cell_length_c 12.3087
_cell_angle_alpha 90.00
_cell_angle_beta 90.00
_cell_angle_gamma 90.00
loop_
_atom_site_label
_atom_site_type_symbol
_atom_site_fract_x
_atom_site_fract_y
_atom_site_fract_z
K1 K 0.0000 0.0000 0.1679
Sn1 Sn 0.0000 0.0000 0.5000
F1 F 0.0000 0.5000 0.2500
# **Density**: 3.10 Mg/m³
# **DFT total energy**: -3.59 eV/atom
# **Raw formation energy**: -1.516 eV/atom
# **Volume**: 126 Å³/f.u.



No. 16
# K2SnF6 (GGA-PBEsol, optimized geometry)
data_K2SnF6
_chemical_formula_sum 'K2 Sn1 F6'
_space_group_name_H-M_alt 'P -3 m 1'
_space_group_IT_number 164
_space_group_name_Hall '-P 3 2"'
_cell_length_a 5.8636
_cell_length_b 5.8636
_cell_length_c 4.6336
_cell_angle_alpha 90.00
_cell_angle_beta 90.00
_cell_angle_gamma 120.00
loop_
_atom_site_label
_atom_site_type_symbol
_atom_site_fract_x
_atom_site_fract_y
_atom_site_fract_z
K1 K 0.3333 0.6667 0.3019
Sn1 Sn 0.0000 0.0000 0.0000
F1 F 0.1641 0.3283 0.7667
# **Density**: 3.74 Mg/m³
# **DFT total energy**: -4.76 eV/atom
# **Raw formation energy**: -2.750 eV/atom
# **Volume**: 138 Å³/f.u.



No. 17
# KZrSnF2 (GGA-PBEsol, optimized geometry)
data_KZrSnF2
_chemical_formula_sum 'K1 Zr1 Sn1 F2'
_space_group_name_H-M_alt 'P 4/m m m'
_space_group_IT_number 123
_space_group_name_Hall '-P 4 2'
_cell_length_a 4.4167
_cell_length_b 4.4167
_cell_length_c 5.6925
_cell_angle_alpha 90.00
_cell_angle_beta 90.00
_cell_angle_gamma 90.00
loop_
_atom_site_label
_atom_site_type_symbol
_atom_site_fract_x
_atom_site_fract_y
_atom_site_fract_z
K1 K 0.0000 0.0000 0.0000
Zr1 Zr 0.5000 0.5000 0.5000
Sn1 Sn 0.5000 0.5000 0.0000
F1 F 0.0000 0.5000 0.5000
# **Density**: 4.29 Mg/m³
# **DFT total energy**: -5.31 eV/atom
# **Raw formation energy**: -1.644 eV/atom
# **Volume**: 111 Å³/f.u.



No. 18
# KZrSnF7 (GGA-PBEsol, optimized geometry)
data_KZrSnF7
_chemical_formula_sum 'K4 Zr4 Sn4 F28'
_space_group_name_H-M_alt 'P m n a'
_space_group_IT_number 53
_cell_length_a 8.3635
_cell_length_b 5.9086
_cell_length_c 12.3932
_cell_angle_alpha 90.00
_cell_angle_beta 90.00
_cell_angle_gamma 90.00
loop_
_space_group_symop_operation_xyz
'x,y,z'
'-x,-y,-z'
'-x+1/2,-y,z+1/2'
'x+1/2,y,-z+1/2'
'x,-y,-z'
'-x,y,z'
'-x+1/2,y,-z+1/2'
'x+1/2,-y,z+1/2'
loop_
_atom_site_label
_atom_site_type_symbol
_atom_site_fract_x
_atom_site_fract_y
_atom_site_fract_z
K1 K 0.2500 0.2121 0.2500
Zr1 Zr 0.0000 0.2508 0.5856
Sn1 Sn 0.0000 0.2423 0.9082
F1 F 0.0000 0.0943 0.7409
F2 F 0.0000 0.1226 0.0838
F3 F 0.0000 0.1269 0.4275
F4 F 0.0000 0.4976 0.3047
F5 F 0.1436 0.5000 0.5000
F6 F 0.2342 0.1567 0.6094
# **Density**: 4.14 Mg/m³
# **DFT total energy**: -5.99 eV/atom
# **Raw formation energy**: -3.191 eV/atom
# **Volume**: 153 Å³/f.u.



No. 19
# KSr2F2 (GGA-PBEsol, optimized geometry)
data_KSr2F2
_chemical_formula_sum 'K2 Sr4 F4'
_space_group_name_H-M_alt 'I 4/m m m'
_space_group_IT_number 139
_space_group_name_Hall '-I 4 2'
_cell_length_a 4.1525
_cell_length_b 4.1525
_cell_length_c 19.8674
_cell_angle_alpha 90.00
_cell_angle_beta 90.00
_cell_angle_gamma 90.00
loop_
_atom_site_label
_atom_site_type_symbol
_atom_site_fract_x
_atom_site_fract_y
_atom_site_fract_z
K1 K 0.0000 0.0000 0.0000
Sr1 Sr 0.0000 0.0000 0.3188
F1 F 0.0000 0.5000 0.2500
# **Density**: 2.45 Mg/m³
# **DFT total energy**: -4.01 eV/atom
# **Raw formation energy**: -2.279 eV/atom
# **Volume**: 171 Å³/f.u.



No. 20
# K3TaF8 (GGA-PBEsol, optimized geometry)
data_K3TaF8
_chemical_formula_sum 'K6 Ta2 F16'
_space_group_name_H-M_alt 'P 63 m c'
_space_group_IT_number 186
_space_group_name_Hall 'P 6c -2c'
_cell_length_a 8.2302
_cell_length_b 8.2302
_cell_length_c 6.2434
_cell_angle_alpha 90.00
_cell_angle_beta 90.00
_cell_angle_gamma 120.00
loop_
_atom_site_label
_atom_site_type_symbol
_atom_site_fract_x
_atom_site_fract_y
_atom_site_fract_z
K1 K 0.1535 0.3070 0.0000
Ta1 Ta 0.3333 0.6667 0.5058
F1 F 0.0000 0.0000 0.2409
F2 F 0.1237 0.5619 0.7121
F3 F 0.2003 0.4006 0.4273
F4 F 0.3333 0.6667 0.1906
# **Density**: 4.08 Mg/m³
# **DFT total energy**: -5.76 eV/atom
# **Raw formation energy**: -3.147 eV/atom
# **Volume**: 183 Å³/f.u.